[1]
DFT (PBE) results for a geometry-optimized CaPmAgSe3 structure.

POSCAR file:
```
CaPmAgSe3
1.0
8.351 0.000 0.000
0.000 4.140 0.000
-1.996 0.000 9.107
Ca Pm Ag Se
2 2 2 6
Direct
0.192 0.250 0.243 Ca
0.808 0.750 0.757 Ca
0.324 0.750 0.827 Pm
0.676 0.250 0.173 Pm
0.092 0.250 0.584 Ag
0.908 0.750 0.416 Ag
0.083 0.250 0.866 Se
0.262 0.750 0.502 Se
0.421 0.750 0.156 Se
0.579 0.250 0.844 Se
0.738 0.250 0.498 Se
0.917 0.750 0.134 Se
```

## Properties
space-group type	P2_1/m
E	-4.80	eV/atom


[2]
DFT (PBE) results for a geometry-optimized Pr4TeSeS2 structure.

POSCAR file:
```
Pr4TeSeS2
1.0
7.369 0.000 0.000
0.000 4.209 0.000
-2.414 0.000 7.053
Pr Te Se S
4 1 1 2
Direct
0.228 0.000 0.214 Pr
0.249 0.500 0.779 Pr
0.751 0.500 0.221 Pr
0.772 0.000 0.786 Pr
0.500 0.500 0.500 Te
0.000 0.000 0.500 Se
0.000 0.500 0.000 S
0.500 0.000 0.000 S
```

## Properties
space-group type	P2/m
E	-6.08	eV/atom
DOS at the Fermi energy	3.15	states/eV/cell


[3]
DFT (PBE) results for a geometry-optimized NaScH2Se structure.

POSCAR file:
```
NaScH2Se
1.0
4.075 0.000 0.000
0.000 4.075 0.000
0.000 0.000 5.221
Na Sc H Se
1 1 2 1
Direct
0.000 0.000 0.000 Na
0.500 0.500 0.500 Sc
0.000 0.500 0.500 H
0.500 0.000 0.500 H
0.500 0.500 0.000 Se
```

## Properties
space-group type	P4/mmm
E	-4.30	eV/atom


[4]
DFT (PBE) results for a geometry-optimized KYZrGa2 structure.

POSCAR file:
```
KYZrGa2
1.0
5.170 0.000 0.000
0.000 5.170 0.000
0.000 0.000 5.105
K Y Zr Ga
1 1 1 2
Direct
0.000 0.000 0.000 K
0.000 0.000 0.500 Y
0.500 0.500 0.500 Zr
0.000 0.500 0.000 Ga
0.500 0.000 0.000 Ga
```

## Properties
space-group type	P4/mmm
ΔE_f	127.1	kJ/mol of atoms
DOS at the Fermi energy	5.21	states/eV/cell


[5]
DFT (PBE) results for a geometry-optimized HfCd2Ni structure.

POSCAR file:
```
HfCd2Ni
1.0
0.000 3.309 3.309
3.309 0.000 3.309
3.309 3.309 0.000
Hf Cd Ni
1 2 1
Direct
0.000 0.000 0.000 Hf
0.250 0.250 0.250 Cd
0.750 0.750 0.750 Cd
0.500 0.500 0.500 Ni
```

## Properties
space-group type	Fm-3m
ΔE_f	12.7	kJ/mol of atoms
DOS at the Fermi energy	2.13	states/eV/cell
relative energy among the computed polymorphs	0.0000	eV/atom


[6]
DFT (PBE) results for a geometry-optimized Na2ErInS4 structure.

POSCAR file:
```
Na2ErInS4
1.0
6.755 0.000 0.000
0.000 3.894 0.000
-2.290 0.000 6.722
Na Er In S
2 1 1 4
Direct
0.000 0.000 0.000 Na
0.500 0.500 0.000 Na
0.000 0.500 0.500 Er
0.500 0.000 0.500 In
0.243 0.000 0.727 S
0.267 0.500 0.279 S
0.733 0.500 0.721 S
0.757 0.000 0.273 S
```

## Properties
space-group type	P2/m
E	-4.65	eV/atom


[7]
DFT (PBE) results for a geometry-optimized KCo3Hg structure.

POSCAR file:
```
KCo3Hg
1.0
4.992 0.000 0.000
0.000 4.992 0.000
0.000 0.000 4.992
K Co Hg
1 3 1
Direct
0.000 0.000 0.000 K
0.000 0.500 0.500 Co
0.500 0.000 0.500 Co
0.500 0.500 0.000 Co
0.500 0.500 0.500 Hg
```

## Properties
space-group type	Pm-3m
ΔE_f	135.8	kJ/mol of atoms
DOS at the Fermi energy	10.95	states/eV/cell
relative energy among the computed polymorphs	0.0000	eV/atom


[8]
DFT (PBE) results for a geometry-optimized Nb4V3FeSe20 structure.

POSCAR file:
```
Nb4V3FeSe20
1.0
9.930 0.000 0.000
0.000 3.498 0.000
-2.153 0.000 18.814
Nb V Fe Se
4 3 1 20
Direct
0.000 0.000 0.000 Nb
0.187 0.500 0.627 Nb
0.474 0.000 0.496 Nb
0.709 0.500 0.130 Nb
0.171 0.500 0.354 V
0.484 0.000 0.765 V
0.702 0.500 0.862 V
0.001 0.000 0.262 Fe
0.010 0.000 0.561 Se
0.014 0.000 0.387 Se
0.030 0.000 0.687 Se
0.150 0.500 0.231 Se
0.156 0.500 0.940 Se
0.177 0.500 0.066 Se
0.271 0.500 0.491 Se
0.299 0.500 0.767 Se
0.363 0.000 0.357 Se
0.389 0.000 0.630 Se
0.530 0.000 0.066 Se
0.535 0.000 0.895 Se
0.556 0.000 0.192 Se
0.629 0.500 0.436 Se
0.652 0.500 0.733 Se
0.653 0.500 0.561 Se
0.798 0.500 0.997 Se
0.829 0.500 0.267 Se
0.888 0.000 0.860 Se
0.910 0.000 0.136 Se
```

## Properties
space-group type	Pm
E	-5.84	eV/atom
DOS at the Fermi energy	9.81	states/eV/cell


| no. | total magnetization (μB/cell) |
| --- | --- |
| 1 | 0.00 |
| 2 | 0.00 |
| 3 | 0.00 |
| 4 | 0.00 |
| 5 | 0.00 |
| 6 | 0.00 |
| 7 | 5.92 |
| 8 | 3.01 |